(1)
# CsSrOF2 | Alexandria | PBE | relaxed
data_CsSrOF2
_cell_length_a 5.1522
_cell_length_b 5.1522
_cell_length_c 4.6573
_cell_angle_alpha 90.00
_cell_angle_beta 90.00
_cell_angle_gamma 90.00
_space_group_name_H-M_alt 'P 4/m m m'
_space_group_IT_number 123
_space_group_name_Hall '-P 4 2'
loop_
_atom_site_label
_atom_site_type_symbol
_atom_site_fract_x
_atom_site_fract_y
_atom_site_fract_z
Cs1 Cs 0.0000 0.0000 0.0000
Sr1 Sr 0.5000 0.5000 0.5000
O1 O 0.0000 0.0000 0.5000
F1 F 0.0000 0.5000 0.0000
# total energy	-3.940	eV per atom
# E_form (uncorrected)	-8.5	eV/f.u.
# crystal system	tetragonal
# mass density	3.687	g/cm³
# energy above the lowest structure with this stoichiometry	877	meV/atom


(2)
# KBaCa2 | Alexandria | PBE | relaxed
data_KBaCa2
_cell_length_a 4.0377
_cell_length_b 6.6835
_cell_length_c 7.9290
_cell_angle_alpha 90.00
_cell_angle_beta 101.16
_cell_angle_gamma 90.00
_space_group_name_H-M_alt 'P 1 2/m 1'
_space_group_IT_number 10
loop_
_space_group_symop_operation_xyz
'x,y,z'
'-x,-y,-z'
'-x,y,-z'
'x,-y,z'
loop_
_atom_site_label
_atom_site_type_symbol
_atom_site_fract_x
_atom_site_fract_y
_atom_site_fract_z
K1 K 0.0000 0.0000 0.0000
Ba1 Ba 0.5000 0.0000 0.5000
Ca1 Ca 0.2066 0.5000 0.7436
# total energy	-1.622	eV per atom
# crystal system	monoclinic
# mass density	2.030	g/cm³
# energy above the lowest structure with this stoichiometry	42	meV/atom
# formation energy	0.134	eV per atom


(3)
# BPPtS2 | Alexandria | PBE | relaxed
data_BPPtS2
_cell_length_a 4.1204
_cell_length_b 4.1204
_cell_length_c 4.0560
_cell_angle_alpha 90.00
_cell_angle_beta 90.00
_cell_angle_gamma 90.00
_space_group_name_H-M_alt 'P 4/m m m'
_space_group_IT_number 123
_space_group_name_Hall '-P 4 2'
loop_
_atom_site_label
_atom_site_type_symbol
_atom_site_fract_x
_atom_site_fract_y
_atom_site_fract_z
B1 B 0.0000 0.0000 0.0000
P1 P 0.0000 0.0000 0.5000
Pt1 Pt 0.5000 0.5000 0.5000
S1 S 0.0000 0.5000 0.0000
# total energy	-4.438	eV per atom
# E_form (uncorrected)	4.2	eV/f.u.
# crystal system	tetragonal
# mass density	7.258	g/cm³
# energy above the lowest structure with this stoichiometry	0	meV/atom


(4)
# Re2SbBr | Alexandria | PBE | relaxed
data_Re2SbBr
_cell_length_a 3.6421
_cell_length_b 4.5555
_cell_length_c 5.4168
_cell_angle_alpha 90.00
_cell_angle_beta 95.94
_cell_angle_gamma 90.00
_space_group_name_H-M_alt 'P 1 2/m 1'
_space_group_IT_number 10
loop_
_space_group_symop_operation_xyz
'x,y,z'
'-x,-y,-z'
'-x,y,-z'
'x,-y,z'
loop_
_atom_site_label
_atom_site_type_symbol
_atom_site_fract_x
_atom_site_fract_y
_atom_site_fract_z
Re1 Re 0.1978 0.0000 0.3474
Sb1 Sb 0.0000 0.5000 0.0000
Br1 Br 0.5000 0.5000 0.5000
# total energy	-6.506	eV per atom
# E_form (uncorrected)	4.7	eV/f.u.
# crystal system	monoclinic
# mass density	10.664	g/cm³
# energy above the lowest structure with this stoichiometry	928	meV/atom


(5)
# SmDy2Co9 | Alexandria | PBE | relaxed
data_SmDy2Co9
_cell_length_a 5.0027
_cell_length_b 5.0027
_cell_length_c 24.3266
_cell_angle_alpha 90.00
_cell_angle_beta 90.00
_cell_angle_gamma 120.00
_space_group_name_H-M_alt 'R -3 m'
_space_group_IT_number 166
_space_group_name_Hall '-R 3 2"'
loop_
_atom_site_label
_atom_site_type_symbol
_atom_site_fract_x
_atom_site_fract_y
_atom_site_fract_z
Sm1 Sm 0.0000 0.0000 0.0000
Dy1 Dy 0.0000 0.0000 0.1401
Co1 Co 0.0000 0.0000 0.3350
Co2 Co 0.0000 0.0000 0.5000
Co3 Co 0.0030 0.5015 0.9183
# total energy	-6.643	eV per atom
# crystal system	trigonal
# mass density	9.503	g/cm³
# formation energy	-0.154	eV per atom


(6)
# Cd3SO6 | Alexandria | PBE | relaxed
data_Cd3SO6
_cell_length_a 9.1273
_cell_length_b 11.0126
_cell_length_c 6.1282
_cell_angle_alpha 90.00
_cell_angle_beta 90.00
_cell_angle_gamma 90.00
_space_group_name_H-M_alt 'C m c 21'
_space_group_IT_number 36
loop_
_space_group_symop_operation_xyz
'x,y,z'
'-x,-y,z+1/2'
'-x,y,z'
'x,-y,z+1/2'
'x+1/2,y+1/2,z'
'-x+1/2,-y+1/2,z+1/2'
'-x+1/2,y+1/2,z'
'x+1/2,-y+1/2,z+1/2'
loop_
_atom_site_label
_atom_site_type_symbol
_atom_site_fract_x
_atom_site_fract_y
_atom_site_fract_z
Cd1 Cd 0.0000 0.0676 0.0000
Cd2 Cd 0.2112 0.4063 0.0089
S1 S 0.0000 0.3254 0.6152
O1 O 0.0000 0.3007 0.8678
O2 O 0.0000 0.4607 0.5897
O3 O 0.1350 0.2743 0.5220
O4 O 0.1647 0.0025 0.2537
# total energy	-4.803	eV per atom
# E_form (uncorrected)	-11.4	eV/f.u.
# crystal system	orthorhombic
# mass density	5.017	g/cm³
# energy above the lowest structure with this stoichiometry	0	meV/atom


(7)
# Cs6RbAu5 | Alexandria | PBE | relaxed
data_Cs6RbAu5
_cell_length_a 10.1459
_cell_length_b 14.1043
_cell_length_c 8.8768
_cell_angle_alpha 90.00
_cell_angle_beta 106.33
_cell_angle_gamma 90.00
_space_group_name_H-M_alt 'C 1 2/m 1'
_space_group_IT_number 12
loop_
_space_group_symop_operation_xyz
'x,y,z'
'-x,-y,-z'
'-x,y,-z'
'x,-y,z'
'x+1/2,y+1/2,z'
'-x+1/2,-y+1/2,-z'
'-x+1/2,y+1/2,-z'
'x+1/2,-y+1/2,z'
loop_
_atom_site_label
_atom_site_type_symbol
_atom_site_fract_x
_atom_site_fract_y
_atom_site_fract_z
Cs1 Cs 0.1881 0.0000 0.2343
Cs2 Cs 0.1985 0.1963 0.7128
Rb1 Rb 0.0000 0.5000 0.0000
Au1 Au 0.0000 0.0000 0.5000
Au2 Au 0.0000 0.2055 0.0000
Au3 Au 0.0000 0.3962 0.5000
# total energy	-2.103	eV per atom
# crystal system	monoclinic
# mass density	5.088	g/cm³
# formation energy	-0.230	eV per atom


(8)
# K2Cd2O3 | Alexandria | PBE | relaxed
data_K2Cd2O3
_cell_length_a 14.3122
_cell_length_b 12.7212
_cell_length_c 6.2909
_cell_angle_alpha 90.00
_cell_angle_beta 114.14
_cell_angle_gamma 90.00
_space_group_name_H-M_alt 'C 1 2/c 1'
_space_group_IT_number 15
loop_
_space_group_symop_operation_xyz
'x,y,z'
'-x,-y,-z'
'-x,y,-z+1/2'
'x,-y,z+1/2'
'x+1/2,y+1/2,z'
'-x+1/2,-y+1/2,-z'
'-x+1/2,y+1/2,-z+1/2'
'x+1/2,-y+1/2,z+1/2'
loop_
_atom_site_label
_atom_site_type_symbol
_atom_site_fract_x
_atom_site_fract_y
_atom_site_fract_z
K1 K 0.0000 0.0733 0.2500
K2 K 0.0000 0.2101 0.7500
K3 K 0.0882 0.4054 0.5757
Cd1 Cd 0.1840 0.2310 0.2463
Cd2 Cd 0.2157 0.0675 0.8005
O1 O 0.1203 0.3811 0.0582
O2 O 0.1472 0.0739 0.0686
O3 O 0.1489 0.2089 0.5643
# total energy	-3.820	eV per atom
# E_form (uncorrected)	-7.8	eV/f.u.
# crystal system	monoclinic
# mass density	4.461	g/cm³


(9)
# SrBe3C | Alexandria | PBE | relaxed
data_SrBe3C
_cell_length_a 6.0538
_cell_length_b 6.0538
_cell_length_c 6.0538
_cell_angle_alpha 90.00
_cell_angle_beta 90.00
_cell_angle_gamma 90.00
_space_group_name_H-M_alt 'P m -3 m'
_space_group_IT_number 221
_space_group_name_Hall '-P 4 2 3'
loop_
_atom_site_label
_atom_site_type_symbol
_atom_site_fract_x
_atom_site_fract_y
_atom_site_fract_z
Sr1 Sr 0.0000 0.0000 0.0000
Be1 Be 0.0000 0.0000 0.5000
C1 C 0.5000 0.5000 0.5000
# total energy	-1.097	eV per atom
# crystal system	cubic
# mass density	0.948	g/cm³
# energy above the lowest structure with this stoichiometry	2349	meV/atom
# formation energy	3.320	eV per atom


(10)
# Pm4Sm3Tm | Alexandria | PBE | relaxed
data_Pm4Sm3Tm
_cell_length_a 11.6540
_cell_length_b 7.3446
_cell_length_c 6.3460
_cell_angle_alpha 90.00
_cell_angle_beta 90.00
_cell_angle_gamma 90.00
_space_group_name_H-M_alt 'P m n 21'
_space_group_IT_number 31
loop_
_space_group_symop_operation_xyz
'x,y,z'
'-x+1/2,-y,z+1/2'
'-x,y,z'
'x+1/2,-y,z+1/2'
loop_
_atom_site_label
_atom_site_type_symbol
_atom_site_fract_x
_atom_site_fract_y
_atom_site_fract_z
Pm1 Pm 0.0000 0.1253 0.0000
Pm2 Pm 0.0000 0.8743 0.5052
Pm3 Pm 0.2472 0.1268 0.3359
Sm1 Sm 0.0000 0.6248 0.0024
Sm2 Sm 0.2501 0.3765 0.8348
Tm1 Tm 0.0000 0.3768 0.5013
# total energy	-4.675	eV per atom
# crystal system	orthorhombic
# mass density	7.337	g/cm³
# energy above the lowest structure with this stoichiometry	13	meV/atom
# formation energy	0.028	eV per atom


Which of these has the lowest total energy? SmDy2Co9


Among the records above, which one has the lowest mass density? SrBe3C


Look up the total energy of the second one. -1.622 eV per atom


Which value of mass density does entry 8 give? 4.461 g/cm³